PrScAgRu: relaxed, PBE.

Output
* total moment: 0.000 μB/cell
* SG: F-43m
* energy of formation: -20 kJ/mol of atoms
* raw total energy: -6.021 eV per atom

```
PrScAgRu
1.0
0.000 3.494 3.494
3.494 0.000 3.494
3.494 3.494 0.000
Pr Sc Ag Ru
1 1 1 1
Direct
0.000 0.000 0.000 Pr
0.500 0.500 0.500 Sc
0.750 0.750 0.750 Ag
0.250 0.250 0.250 Ru
```